Run one
BaHfV3: optimized geometry, PBE.

SG   Pm-3m (221)
Spin magnetization   1.9 μB/f.u.

```
BaHfV3
1.0
4.785 0.000 0.000
0.000 4.785 0.000
0.000 0.000 4.785
V Hf Ba
3 1 1
direct
0.000 0.500 0.000
0.500 0.000 0.000
0.000 0.000 0.500
0.500 0.500 0.500
0.000 0.000 0.000
```

Run two
BaHfV3: optimized geometry, PBE.

SG   Pm-3m (221)
Spin magnetization   8.5 μB/f.u.

```
BaHfV3
1.0
5.140 0.000 0.000
0.000 5.140 0.000
0.000 0.000 5.140
V Ba Hf
3 1 1
direct
0.000 0.500 0.000
0.000 0.000 0.500
0.500 0.000 0.000
0.500 0.500 0.500
0.000 0.000 0.000
```

Most stable pick: run two. Distance to second place: 81.4 kJ/mol of atoms.

Run one
Ba2HfV: optimized geometry, PBE.

SG   I-42d (122)
Spin magnetization   2.8 μB/f.u.

```
Ba2HfV
1.0
-7.266 4.628 3.376
-5.360 -3.570 -6.643
-7.011 -1.949 0.261
Ba Hf V
4 2 2
direct
0.590 0.125 0.250
0.160 0.625 0.250
0.375 0.410 0.750
0.875 0.840 0.750
0.750 0.250 0.500
0.000 0.000 0.000
0.500 0.500 0.000
0.250 0.750 0.500
```

Run two
Ba2HfV: optimized geometry, PBE.

SG   Fm-3m (225)
Spin magnetization   2.6 μB/f.u.

```
Ba2HfV
1.0
4.421 -0.500 3.630
-0.744 -2.536 5.097
2.319 -5.155 1.007
Hf Ba V
1 2 1
direct
0.500 0.500 0.500
0.750 0.750 0.750
0.250 0.250 0.250
0.000 0.000 0.000
```

Most stable pick: run two. Distance to second place: 14.8 kJ/mol of atoms.

Run one
BaHf3W: optimized geometry, PBE.

SG   Pm-3m (221)
Spin magnetization   0.0 μB/f.u.

```
BaHf3W
1.0
5.112 0.000 0.000
0.000 5.112 0.000
0.000 0.000 5.112
W Hf Ba
1 3 1
direct
0.500 0.500 0.500
0.000 0.000 0.500
0.500 0.000 0.000
0.000 0.500 0.000
0.000 0.000 0.000
```

Run two
BaHf3W: optimized geometry, PBE.

SG   Pm-3m (221)
Spin magnetization   0.0 μB/f.u.

```
BaHf3W
1.0
-0.864 3.558 3.761
-4.147 -2.757 1.656
3.098 -2.699 3.265
Hf Ba W
3 1 1
direct
0.000 0.000 0.500
0.500 0.000 0.000
0.000 0.500 0.000
0.500 0.500 0.500
0.000 0.000 0.000
```

Most stable pick: run two. Distance to second place: 189.6 kJ/mol of atoms.

Run one
BaY2Hf: optimized geometry, PBE.

SG   Fm-3m (225)
Spin magnetization   1.6 μB/f.u.

```
BaY2Hf
1.0
0.000 4.030 4.030
4.030 0.000 4.030
4.030 4.030 0.000
Ba Y Hf
1 2 1
direct
0.000 0.000 0.000
0.250 0.250 0.250
0.750 0.750 0.750
0.500 0.500 0.500
```

Run two
BaY2Hf: optimized geometry, PBE.

SG   I-42d (122)
Spin magnetization   0.0 μB/f.u.

```
BaY2Hf
1.0
-0.372 -0.042 4.826
-4.001 -2.706 -0.332
4.257 -10.952 2.662
Y Ba Hf
4 2 2
direct
0.375 0.354 0.750
0.875 0.896 0.750
0.646 0.125 0.250
0.104 0.625 0.250
0.500 0.500 0.000
0.250 0.750 0.500
0.000 0.000 0.000
0.750 0.250 0.500
```

Most stable pick: run one. Distance to second place: 30.7 kJ/mol of atoms.

Run one
Ba2YHf: optimized geometry, PBE.

SG   I-42d (122)
Spin magnetization   0.0 μB/f.u.

```
Ba2YHf
1.0
9.658 0.000 0.000
0.000 9.658 0.000
4.829 4.829 3.350
Hf Ba Y
2 4 2
direct
0.750 0.250 0.500
0.000 0.000 0.000
0.375 0.344 0.750
0.094 0.625 0.250
0.875 0.906 0.750
0.656 0.125 0.250
0.250 0.750 0.500
0.500 0.500 0.000
```

Run two
Ba2YHf: optimized geometry, PBE.

SG   Fm-3m (225)
Spin magnetization   0.0 μB/f.u.

```
Ba2YHf
1.0
-5.039 -2.493 1.973
-4.301 -1.474 -3.851
-1.134 -5.736 -1.147
Y Ba Hf
1 2 1
direct
0.000 0.000 0.000
0.250 0.250 0.250
0.750 0.750 0.750
0.500 0.500 0.500
```

Most stable pick: run two. Distance to second place: 18.5 kJ/mol of atoms.

Run one
BaYHf2: optimized geometry, PBE.

SG   I-42d (122)
Spin magnetization   0.4 μB/f.u.

```
BaYHf2
1.0
8.748 0.000 0.000
0.000 8.748 0.000
4.374 4.374 3.173
Ba Hf Y
2 4 2
direct
0.000 0.000 0.000
0.750 0.250 0.500
0.619 0.125 0.250
0.131 0.625 0.250
0.375 0.381 0.750
0.875 0.869 0.750
0.500 0.500 0.000
0.250 0.750 0.500
```

Run two
BaYHf2: optimized geometry, PBE.

SG   Fm-3m (225)
Spin magnetization   0.0 μB/f.u.

```
BaYHf2
1.0
0.000 3.869 3.869
3.869 0.000 3.869
3.869 3.869 0.000
Y Hf Ba
1 2 1
direct
0.000 0.000 0.000
0.750 0.750 0.750
0.250 0.250 0.250
0.500 0.500 0.500
```

Most stable pick: run two. Distance to second place: 28.5 kJ/mol of atoms.

Run one
BaHfZn: optimized geometry, PBE.

SG   Pnma (62)
Spin magnetization   0.0 μB/f.u.

```
BaHfZn
1.0
-6.448 -4.533 2.965
0.494 -2.963 -3.455
5.958 -5.072 5.203
Zn Hf Ba
4 4 4
direct
0.788 0.250 0.377
0.212 0.750 0.623
0.288 0.250 0.123
0.712 0.750 0.877
0.900 0.750 0.550
0.100 0.250 0.450
0.600 0.250 0.050
0.400 0.750 0.950
0.034 0.250 0.832
0.466 0.750 0.332
0.534 0.250 0.668
0.966 0.750 0.168
```

Run two
BaHfZn: optimized geometry, PBE.

SG   Pnma (62)
Spin magnetization   0.2 μB/f.u.

```
BaHfZn
1.0
-1.017 -3.404 -9.073
-3.789 -1.806 1.102
-4.498 7.932 -2.471
Hf Zn Ba
4 4 4
direct
0.946 0.250 0.085
0.446 0.250 0.415
0.054 0.750 0.915
0.554 0.750 0.585
0.926 0.250 0.787
0.426 0.250 0.713
0.074 0.750 0.213
0.574 0.750 0.287
0.318 0.250 0.060
0.182 0.750 0.560
0.818 0.250 0.440
0.682 0.750 0.940
```

Run three
BaHfZn: optimized geometry, PBE.

SG   Cmcm (63)
Spin magnetization   0.0 μB/f.u.

```
BaHfZn
1.0
3.578 0.001 0.000
-1.786 13.280 0.001
0.000 -0.001 3.613
Zn Ba Hf
2 2 2
direct
0.009 0.535 0.780
0.340 0.198 0.280
0.599 0.717 0.280
0.749 0.016 0.780
0.458 0.435 0.280
0.890 0.298 0.780
```

Most stable pick: run three. Distance to second place: 24.1 kJ/mol of atoms.

Run one
Ba2Hf2Zn: optimized geometry, PBE.

SG   P4/mbm (127)
Spin magnetization   0.0 μB/f.u.

```
Ba2Hf2Zn
1.0
7.342 0.000 0.000
0.000 7.342 0.000
0.000 0.000 5.787
Ba Hf Zn
4 4 2
direct
0.677 0.823 0.500
0.823 0.323 0.500
0.323 0.177 0.500
0.177 0.677 0.500
0.858 0.642 0.000
0.642 0.142 0.000
0.358 0.858 0.000
0.142 0.358 0.000
0.000 0.000 0.000
0.500 0.500 0.000
```

Run two
Ba2Hf2Zn: optimized geometry, PBE.

SG   I4/mmm (139)
Spin magnetization   0.0 μB/f.u.

```
Ba2Hf2Zn
1.0
-0.269 4.168 1.481
-3.371 0.768 -2.771
-7.154 0.055 5.176
Hf Ba Zn
2 2 1
direct
0.424 0.424 0.151
0.576 0.576 0.849
0.750 0.250 0.500
0.250 0.750 0.500
0.000 0.000 0.000
```

Most stable pick: run one. Distance to second place: 62.2 kJ/mol of atoms.

Run one
BaHf2Zn: optimized geometry, PBE.

SG   I-42d (122)
Spin magnetization   0.0 μB/f.u.

```
BaHf2Zn
1.0
-1.960 -0.552 -4.867
0.836 -5.203 0.254
-9.716 -4.162 1.526
Ba Zn Hf
2 2 4
direct
0.750 0.250 0.500
0.000 0.000 0.000
0.500 0.500 0.000
0.250 0.750 0.500
0.355 0.125 0.250
0.395 0.625 0.250
0.875 0.605 0.750
0.375 0.645 0.750
```

Run two
BaHf2Zn: optimized geometry, PBE.

SG   Fm-3m (225)
Spin magnetization   0.0 μB/f.u.

```
BaHf2Zn
1.0
0.000 3.584 3.584
3.584 0.000 3.584
3.584 3.584 0.000
Ba Hf Zn
1 2 1
direct
0.500 0.500 0.500
0.750 0.750 0.750
0.250 0.250 0.250
0.000 0.000 0.000
```

Most stable pick: run two. Distance to second place: 12.0 kJ/mol of atoms.

Run one
BaHfZn2: optimized geometry, PBE.

SG   P4/mmm (123)
Spin magnetization   0.0 μB/f.u.

```
BaHfZn2
1.0
-2.749 0.774 2.047
1.603 -1.525 2.730
3.307 6.814 1.866
Zn Ba Hf
2 1 1
direct
0.000 0.000 0.183
0.000 0.000 0.817
0.500 0.500 0.500
0.500 0.500 0.000
```

Run two
BaHfZn2: optimized geometry, PBE.

SG   I-42d (122)
Spin magnetization   0.0 μB/f.u.

```
BaHfZn2
1.0
-5.699 5.662 -0.334
-2.086 -2.533 -7.340
-6.276 -0.748 -2.362
Zn Hf Ba
4 2 2
direct
0.375 0.314 0.750
0.686 0.125 0.250
0.064 0.625 0.250
0.875 0.936 0.750
0.000 0.000 0.000
0.750 0.250 0.500
0.250 0.750 0.500
0.500 0.500 0.000
```

Most stable pick: run one. Distance to second place: 46.8 kJ/mol of atoms.

Run one
BaHf3Zr: optimized geometry, PBE.

SG   Pm-3m (221)
Spin magnetization   0.0 μB/f.u.

```
BaHf3Zr
1.0
-4.588 2.199 1.724
-2.167 -0.707 -4.864
-1.765 -4.850 1.491
Hf Ba Zr
3 1 1
direct
0.500 0.000 0.000
0.000 0.500 0.000
0.000 0.000 0.500
0.500 0.500 0.500
0.000 0.000 0.000
```

Run two
BaHf3Zr: optimized geometry, PBE.

SG   Pm-3m (221)
Spin magnetization   0.0 μB/f.u.

```
BaHf3Zr
1.0
-1.122 -4.364 -2.636
4.287 -2.268 1.930
-2.758 -1.750 4.072
Hf Zr Ba
3 1 1
direct
0.000 0.000 0.500
0.500 0.000 0.000
0.000 0.500 0.000
0.500 0.500 0.500
0.000 0.000 0.000
```

Most stable pick: run one. Distance to second place: 89.4 kJ/mol of atoms.

Run one
BaHfZr3: optimized geometry, PBE.

SG   Pm-3m (221)
Spin magnetization   0.0 μB/f.u.

```
BaHfZr3
1.0
5.246 0.000 0.000
0.000 5.246 0.000
0.000 0.000 5.246
Zr Ba Hf
3 1 1
direct
0.000 0.000 0.500
0.000 0.500 0.000
0.500 0.000 0.000
0.000 0.000 0.000
0.500 0.500 0.500
```

Run two
BaHfZr3: optimized geometry, PBE.

SG   Pm-3m (221)
Spin magnetization   0.0 μB/f.u.

```
BaHfZr3
1.0
-5.048 1.797 0.726
-1.931 -4.835 -1.462
0.163 -1.624 5.155
Zr Hf Ba
3 1 1
direct
0.500 0.000 0.000
0.000 0.500 0.000
0.000 0.000 0.500
0.000 0.000 0.000
0.500 0.500 0.500
```

Most stable pick: run two. Distance to second place: 85.9 kJ/mol of atoms.